(1)
Hf2TiNi2, PBEsol geometry, DFT meta-GGA SCAN; ρ = 10.9 g/cm³; M_tot = 0.00 μB per atom; formation energy = -390 meV/atom
1.0
3.175 0.000 0.000
0.000 7.074 0.000
0.000 0.000 7.074
Ni Hf Ti
4 4 2
Direct
0.000 0.374 0.874 Ni
0.000 0.874 0.626 Ni
0.000 0.126 0.374 Ni
0.000 0.626 0.126 Ni
0.500 0.830 0.330 Hf
0.500 0.330 0.170 Hf
0.500 0.170 0.670 Hf
0.500 0.670 0.830 Hf
0.000 0.500 0.500 Ti
0.000 0.000 0.000 Ti

(2)
Cr7W, PBEsol geometry, DFT meta-GGA SCAN; ρ = 9.7 g/cm³; M_tot = 0.00 μB per atom; formation energy = 51 meV/atom
1.0
-2.127 -1.561 5.089
-1.095 -5.242 -2.043
5.199 -1.754 1.657
Cr W
14 2
Direct
0.879 0.371 0.879 Cr
0.371 0.879 0.879 Cr
0.629 0.629 0.123 Cr
0.629 0.123 0.629 Cr
0.879 0.879 0.879 Cr
0.121 0.121 0.629 Cr
0.629 0.121 0.121 Cr
0.371 0.371 0.877 Cr
0.121 0.121 0.121 Cr
0.877 0.371 0.371 Cr
0.371 0.877 0.371 Cr
0.123 0.629 0.629 Cr
0.879 0.879 0.371 Cr
0.121 0.629 0.121 Cr
0.630 0.630 0.630 W
0.370 0.370 0.370 W

(3)
Tl3ReAs, PBEsol geometry, DFT meta-GGA SCAN; ρ = 10.0 g/cm³; M_tot = 0.70 μB per atom; formation energy = 898 meV/atom
1.0
5.262 0.000 0.000
0.000 5.262 0.000
0.000 0.000 5.262
Tl As Re
3 1 1
Direct
0.000 0.000 0.500 Tl
0.500 0.000 0.000 Tl
0.000 0.500 0.000 Tl
0.500 0.500 0.500 As
0.000 0.000 0.000 Re

(4)
MgTlHg, PBEsol geometry, DFT meta-GGA SCAN; ρ = 10.1 g/cm³; M_tot = 0.00 μB per atom; formation energy = -127 meV/atom
1.0
-1.905 -2.467 1.631
1.211 -2.368 -2.304
4.747 1.351 3.793
Hg Tl Mg
1 1 1
Direct
0.015 0.015 0.029 Hg
0.332 0.332 0.665 Tl
0.653 0.653 0.305 Mg

(5)
LaZrSc2, PBEsol geometry, DFT meta-GGA SCAN; ρ = 5.3 g/cm³; M_tot = 0.00 μB per atom; E above lowest polymorph = 0.149 eV per atom; formation energy = 220 meV/atom
1.0
-2.507 2.675 -0.351
-1.212 -0.483 4.977
3.643 3.576 1.234
Zr Sc La
1 2 1
Direct
0.500 0.000 0.500 Zr
0.500 0.500 0.000 Sc
0.000 0.000 0.000 Sc
0.000 0.500 0.500 La

(6)
CaFeBr2, PBEsol geometry, DFT meta-GGA SCAN; ρ = 4.9 g/cm³; M_tot = 0.65 μB per atom; E above lowest polymorph = 0.151 eV per atom; raw formation energy = -546 meV/atom
1.0
3.477 0.000 0.029
0.000 3.872 0.000
-0.019 0.000 6.423
Br Ca Fe
2 1 1
Direct
0.999 0.000 0.254 Br
0.001 0.000 0.746 Br
0.500 0.500 0.000 Ca
0.000 0.500 0.500 Fe

(7)
SrTaTe, PBEsol geometry, DFT meta-GGA SCAN; ρ = 8.0 g/cm³; M_tot = 0.23 μB per atom; E above lowest polymorph = 0.502 eV per atom; raw formation energy = 658 meV/atom
1.0
4.890 0.000 0.000
2.445 4.235 0.000
2.445 1.412 3.993
Sr Te Ta
1 1 1
Direct
0.000 0.000 0.000 Sr
0.250 0.250 0.250 Te
0.500 0.500 0.500 Ta

(8)
Ta2HF, PBEsol geometry, DFT meta-GGA SCAN; ρ = 12.9 g/cm³; M_tot = 0.00 μB per atom; VASP energy = -35.4185 eV per atom
1.0
-1.808 -0.819 -4.154
-2.697 -3.259 1.816
-1.045 5.218 1.977
Ta F H
4 2 2
Direct
0.432 0.875 0.250 Ta
0.818 0.375 0.250 Ta
0.625 0.568 0.750 Ta
0.125 0.182 0.750 Ta
0.000 0.000 0.000 F
0.250 0.750 0.500 F
0.750 0.250 0.500 H
0.500 0.500 0.000 H

(9)
CdSi2Au, PBEsol geometry, DFT meta-GGA SCAN; ρ = 8.2 g/cm³; M_tot = 0.00 μB per atom; raw formation energy = 337 meV/atom
1.0
5.359 0.000 0.000
2.680 5.266 0.000
2.680 0.000 5.266
Au Si Cd
2 4 2
Direct
0.000 0.000 0.000 Au
0.750 0.500 0.500 Au
0.375 0.535 0.965 Si
0.090 0.035 0.535 Si
0.875 0.465 0.035 Si
0.660 0.965 0.465 Si
0.500 0.000 0.000 Cd
0.250 0.500 0.500 Cd

(10)
CdPtAu2, PBEsol geometry, DFT meta-GGA SCAN; ρ = 17.2 g/cm³; M_tot = 0.00 μB per atom; formation energy = -111 meV/atom
1.0
-2.729 3.397 -1.390
-4.538 -0.566 0.002
-2.584 2.245 3.034
Au Pt Cd
2 1 1
Direct
0.750 0.750 0.750 Au
0.000 0.000 0.000 Au
0.250 0.250 0.250 Pt
0.500 0.500 0.500 Cd

(11)
CaSe4, PBEsol geometry, DFT meta-GGA SCAN; ρ = 4.4 g/cm³; M_tot = 0.00 μB per atom; raw formation energy = -523 meV/atom
1.0
-0.316 -4.030 3.599
5.357 2.471 -0.833
1.805 3.320 3.875
Se Ca
4 1
Direct
0.750 0.500 0.750 Se
0.250 0.500 0.250 Se
0.300 0.601 0.700 Se
0.700 0.399 0.300 Se
0.000 0.000 0.000 Ca

(12)
CsCd2As2, PBEsol geometry, DFT meta-GGA SCAN; ρ = 6.2 g/cm³; M_tot = 0.00 μB per atom; formation energy = -329 meV/atom
1.0
4.503 0.000 0.000
0.000 4.503 0.000
-2.252 -2.252 6.730
As Cs Cd
2 1 2
Direct
0.633 0.633 0.266 As
0.367 0.367 0.734 As
0.000 0.000 0.000 Cs
0.750 0.250 0.500 Cd
0.250 0.750 0.500 Cd

Q: ρ of number 6 (CaFeBr2)?
A: 4.9 g/cm³

Q: Which formula does entry 7 have?
A: SrTaTe